# Nb2TcPtW, PBEsol geometry, DFT SCAN
# Energy of formation from the pure elements (kJ/mol of atoms): 150
# Raw total energy (eV per atom): -46.681
# SG: P4/mmm, No. 123
data_Nb2TcPtW
_cell_length_a 4.716
_cell_length_b 4.765
_cell_length_c 4.765
_cell_angle_alpha 90.00
_cell_angle_beta 90.00
_cell_angle_gamma 90.00
_symmetry_space_group_name_H-M 'P 1'
_symmetry_Int_Tables_number 1
loop_
_symmetry_equiv_pos_as_xyz
'x,y,z'
loop_
_atom_site_label
_atom_site_fract_x
_atom_site_fract_y
_atom_site_fract_z
Nb1 0.000 0.000 0.500
Nb2 0.000 0.500 0.000
W1 0.000 0.000 0.000
Pt1 0.500 0.000 0.000
Tc1 0.500 0.500 0.500

***

# Hg2SbIr, PBEsol geometry, DFT SCAN
# Raw total energy (eV per atom): -60.791
# SG: Cmmm, No. 65
# Formation energy without anion corrections (meV/atom): 382
data_Hg2SbIr
_cell_length_a 3.975
_cell_length_b 3.966
_cell_length_c 5.241
_cell_angle_alpha 90.00
_cell_angle_beta 90.00
_cell_angle_gamma 90.52
_symmetry_space_group_name_H-M 'P 1'
_symmetry_Int_Tables_number 1
loop_
_symmetry_equiv_pos_as_xyz
'x,y,z'
loop_
_atom_site_label
_atom_site_fract_x
_atom_site_fract_y
_atom_site_fract_z
Hg1 0.242 0.242 0.000
Hg2 0.758 0.758 0.000
Ir1 0.000 0.000 0.500
Sb1 0.500 0.500 0.500

***

# CsTbNb6Br18, PBEsol geometry, DFT SCAN
# Raw total energy (eV per atom): -25.639
# SG: P-31c, No. 163
# Formation energy without anion corrections (meV/atom): -1269
data_CsTbNb6Br18
_cell_length_a 9.676
_cell_length_b 9.676
_cell_length_c 18.041
_cell_angle_alpha 90.00
_cell_angle_beta 90.00
_cell_angle_gamma 120.00
_symmetry_space_group_name_H-M 'P 1'
_symmetry_Int_Tables_number 1
loop_
_symmetry_equiv_pos_as_xyz
'x,y,z'
loop_
_atom_site_label
_atom_site_fract_x
_atom_site_fract_y
_atom_site_fract_z
Cs1 0.667 0.333 0.250
Cs2 0.333 0.667 0.750
Tb1 0.333 0.667 0.250
Tb2 0.667 0.333 0.750
Nb1 0.153 0.191 0.434
Nb2 0.847 0.809 0.566
Nb3 0.037 0.847 0.434
Nb4 0.153 0.963 0.066
Nb5 0.963 0.153 0.566
Nb6 0.847 0.037 0.934
Nb7 0.809 0.963 0.434
Nb8 0.037 0.191 0.066
Nb9 0.191 0.037 0.566
Nb10 0.963 0.809 0.934
Nb11 0.809 0.847 0.066
Nb12 0.191 0.153 0.934
Br1 0.368 0.448 0.339
Br2 0.632 0.552 0.661
Br3 0.080 0.632 0.339
Br4 0.368 0.920 0.161
Br5 0.920 0.368 0.661
Br6 0.632 0.080 0.839
Br7 0.552 0.920 0.339
Br8 0.080 0.448 0.161
Br9 0.448 0.080 0.661
Br10 0.920 0.552 0.839
Br11 0.552 0.632 0.161
Br12 0.448 0.368 0.839
Br13 0.956 0.190 0.338
Br14 0.044 0.810 0.662
Br15 0.234 0.044 0.338
Br16 0.956 0.766 0.162
Br17 0.766 0.956 0.662
Br18 0.044 0.234 0.838
Br19 0.810 0.766 0.338
Br20 0.234 0.190 0.162
Br21 0.190 0.234 0.662
Br22 0.766 0.810 0.838
Br23 0.810 0.044 0.162
Br24 0.190 0.956 0.838
Br25 0.722 0.144 0.500
Br26 0.278 0.856 0.500
Br27 0.422 0.278 0.500
Br28 0.722 0.578 0.000
Br29 0.578 0.722 0.500
Br30 0.278 0.422 0.000
Br31 0.856 0.578 0.500
Br32 0.422 0.144 0.000
Br33 0.144 0.422 0.500
Br34 0.578 0.856 0.000
Br35 0.856 0.278 0.000
Br36 0.144 0.722 0.000

***

# AuCl5, PBEsol geometry, DFT SCAN
# Raw total energy (eV per atom): -18.204
# SG: Cm, No. 8
# Formation energy without anion corrections (meV/atom): -29
data_AuCl5
_cell_length_a 3.544
_cell_length_b 4.782
_cell_length_c 9.518
_cell_angle_alpha 104.43
_cell_angle_beta 100.73
_cell_angle_gamma 90.00
_symmetry_space_group_name_H-M 'P 1'
_symmetry_Int_Tables_number 1
loop_
_symmetry_equiv_pos_as_xyz
'x,y,z'
loop_
_atom_site_label
_atom_site_fract_x
_atom_site_fract_y
_atom_site_fract_z
Au1 0.084 0.074 0.167
Cl1 0.324 0.640 0.649
Cl2 0.653 0.344 0.306
Cl3 0.526 0.766 0.052
Cl4 0.962 0.355 0.924
Cl5 0.284 0.988 0.568

***

# TaMn2Cl, PBEsol geometry, DFT SCAN
# Raw total energy (eV per atom): -27.321
# ΔE to the lowest computed polymorph (meV per atom): 653
# SG: Pmmm, No. 47
# Formation energy without anion corrections (meV/atom): 446
data_TaMn2Cl
_cell_length_a 2.884
_cell_length_b 4.264
_cell_length_c 4.407
_cell_angle_alpha 90.00
_cell_angle_beta 90.00
_cell_angle_gamma 90.00
_symmetry_space_group_name_H-M 'P 1'
_symmetry_Int_Tables_number 1
loop_
_symmetry_equiv_pos_as_xyz
'x,y,z'
loop_
_atom_site_label
_atom_site_fract_x
_atom_site_fract_y
_atom_site_fract_z
Cl1 0.000 0.500 0.500
Mn1 0.000 0.000 0.000
Mn2 0.500 0.000 0.500
Ta1 0.500 0.500 0.000

***

# HgSbRh, PBEsol geometry, DFT SCAN
# Raw total energy (eV per atom): -45.907
# ΔE to the lowest computed polymorph (meV per atom): 616
# SG: F-43m, No. 216
# Formation energy without anion corrections (meV/atom): 492
data_HgSbRh
_cell_length_a 4.533
_cell_length_b 4.533
_cell_length_c 4.533
_cell_angle_alpha 60.00
_cell_angle_beta 60.00
_cell_angle_gamma 60.00
_symmetry_space_group_name_H-M 'P 1'
_symmetry_Int_Tables_number 1
loop_
_symmetry_equiv_pos_as_xyz
'x,y,z'
loop_
_atom_site_label
_atom_site_fract_x
_atom_site_fract_y
_atom_site_fract_z
Hg1 0.250 0.250 0.250
Rh1 0.000 0.000 0.000
Sb1 0.500 0.500 0.500

***

# TeSe, PBEsol geometry, DFT SCAN
# Raw total energy (eV per atom): -28.576
# SG: Cmcm, No. 63
# Formation energy without anion corrections (meV/atom): 88
data_TeSe
_cell_length_a 4.284
_cell_length_b 5.090
_cell_length_c 5.090
_cell_angle_alpha 109.20
_cell_angle_beta 90.00
_cell_angle_gamma 90.00
_symmetry_space_group_name_H-M 'P 1'
_symmetry_Int_Tables_number 1
loop_
_symmetry_equiv_pos_as_xyz
'x,y,z'
loop_
_atom_site_label
_atom_site_fract_x
_atom_site_fract_y
_atom_site_fract_z
Te1 0.750 0.369 0.631
Te2 0.250 0.631 0.369
Se1 0.750 0.878 0.122
Se2 0.250 0.122 0.878

***

# P3IrO9, PBEsol geometry, DFT SCAN
# Raw total energy (eV per atom): -14.179
# ΔE to the lowest computed polymorph (meV per atom): 0
# SG: P-1, No. 2
# Formation energy without anion corrections (meV/atom): -1997
data_P3IrO9
_cell_length_a 5.024
_cell_length_b 7.109
_cell_length_c 10.345
_cell_angle_alpha 98.51
_cell_angle_beta 92.11
_cell_angle_gamma 92.36
_symmetry_space_group_name_H-M 'P 1'
_symmetry_Int_Tables_number 1
loop_
_symmetry_equiv_pos_as_xyz
'x,y,z'
loop_
_atom_site_label
_atom_site_fract_x
_atom_site_fract_y
_atom_site_fract_z
P1 0.497 0.338 0.641
P2 0.503 0.662 0.359
P3 0.479 0.050 0.821
P4 0.521 0.950 0.179
P5 0.236 0.305 0.230
P6 0.764 0.695 0.770
Ir1 0.000 0.000 0.000
Ir2 0.000 0.500 0.500
O1 0.328 0.877 0.066
O2 0.672 0.123 0.934
O3 0.452 0.855 0.304
O4 0.548 0.145 0.696
O5 0.612 0.492 0.762
O6 0.388 0.508 0.238
O7 0.922 0.705 0.650
O8 0.078 0.295 0.350
O9 0.661 0.342 0.522
O10 0.339 0.658 0.478
O11 0.480 0.167 0.234
O12 0.520 0.833 0.766
O13 0.906 0.733 0.902
O14 0.094 0.267 0.098
O15 0.813 0.921 0.156
O16 0.187 0.079 0.844
O17 0.800 0.649 0.377
O18 0.200 0.351 0.623

***

# Be2ReBr, PBEsol geometry, DFT SCAN
# Raw total energy (eV per atom): -23.799
# ΔE to the lowest computed polymorph (meV per atom): 239
# SG: C2/m, No. 12
# Formation energy without anion corrections (meV/atom): 1017
data_Be2ReBr
_cell_length_a 2.819
_cell_length_b 4.738
_cell_length_c 4.829
_cell_angle_alpha 118.86
_cell_angle_beta 106.17
_cell_angle_gamma 91.55
_symmetry_space_group_name_H-M 'P 1'
_symmetry_Int_Tables_number 1
loop_
_symmetry_equiv_pos_as_xyz
'x,y,z'
loop_
_atom_site_label
_atom_site_fract_x
_atom_site_fract_y
_atom_site_fract_z
Re1 0.000 0.500 0.000
Br1 0.500 0.000 0.000
Be1 0.000 0.000 0.500
Be2 0.500 0.500 0.500

***

# K3AlTe3, PBEsol geometry, DFT SCAN
# Raw total energy (eV per atom): -21.717
# SG: P2_1/c, No. 14
# Formation energy without anion corrections (meV/atom): -1075
data_K3AlTe3
_cell_length_a 8.584
_cell_length_b 9.014
_cell_length_c 13.730
_cell_angle_alpha 90.00
_cell_angle_beta 90.00
_cell_angle_gamma 101.92
_symmetry_space_group_name_H-M 'P 1'
_symmetry_Int_Tables_number 1
loop_
_symmetry_equiv_pos_as_xyz
'x,y,z'
loop_
_atom_site_label
_atom_site_fract_x
_atom_site_fract_y
_atom_site_fract_z
Al1 0.601 0.162 0.065
Al2 0.899 0.338 0.565
Al3 0.399 0.838 0.935
Al4 0.101 0.662 0.435
K1 0.771 0.600 0.101
K2 0.729 0.900 0.601
K3 0.229 0.400 0.899
K4 0.271 0.100 0.399
K5 0.789 0.422 0.814
K6 0.711 0.078 0.314
K7 0.211 0.578 0.186
K8 0.289 0.922 0.686
K9 0.661 0.524 0.387
K10 0.839 0.976 0.887
K11 0.339 0.476 0.613
K12 0.161 0.024 0.113
Te1 0.964 0.635 0.609
Te2 0.536 0.865 0.109
Te3 0.036 0.365 0.391
Te4 0.464 0.135 0.891
Te5 0.964 0.810 0.309
Te6 0.536 0.690 0.809
Te7 0.036 0.190 0.691
Te8 0.464 0.310 0.191
Te9 0.405 0.769 0.445
Te10 0.095 0.731 0.945
Te11 0.595 0.231 0.555
Te12 0.905 0.269 0.055

***

# KY2Ag, PBEsol geometry, DFT SCAN
# Energy of formation from the pure elements (kJ/mol of atoms): 4
# Raw total energy (eV per atom): -23.806
# SG: P4mm, No. 99
data_KY2Ag
_cell_length_a 3.633
_cell_length_b 3.633
_cell_length_c 9.813
_cell_angle_alpha 90.00
_cell_angle_beta 90.00
_cell_angle_gamma 90.00
_symmetry_space_group_name_H-M 'P 1'
_symmetry_Int_Tables_number 1
loop_
_symmetry_equiv_pos_as_xyz
'x,y,z'
loop_
_atom_site_label
_atom_site_fract_x
_atom_site_fract_y
_atom_site_fract_z
Ag1 0.500 0.500 0.449
K1 0.000 0.000 0.700
Y1 0.500 0.500 0.057
Y2 0.000 0.000 0.294

***

# KOsSe2N, PBEsol geometry, DFT SCAN
# Raw total energy (eV per atom): -25.939
# SG: P4/mmm, No. 123
# Formation energy without anion corrections (meV/atom): -8
data_KOsSe2N
_cell_length_a 3.698
_cell_length_b 5.207
_cell_length_c 5.207
_cell_angle_alpha 90.00
_cell_angle_beta 90.00
_cell_angle_gamma 90.00
_symmetry_space_group_name_H-M 'P 1'
_symmetry_Int_Tables_number 1
loop_
_symmetry_equiv_pos_as_xyz
'x,y,z'
loop_
_atom_site_label
_atom_site_fract_x
_atom_site_fract_y
_atom_site_fract_z
K1 0.500 0.500 0.500
Os1 0.000 0.000 0.000
Se1 0.000 0.000 0.500
Se2 0.000 0.500 0.000
N1 0.500 0.000 0.000